{"formula": "AgPW2", "functional": "PBE", "state": "relaxed", "formation_enthalpy_0k_ev_per_atom": 0.352, "de_polymorph_kj_per_mol_atoms": 7.0, "lattice_angstrom": [[-2.015, 0.443, 2.189], [1.190, -2.281, 1.558], [4.494, 4.542, 3.217]], "species": ["W", "W", "Ag", "P"], "frac_coords": [[0.000, 0.000, 0.965], [0.500, 0.500, 0.226], [0.000, 0.000, 0.515], [0.500, 0.500, 0.795]]}